1.
! CsTc2Se4 (PBE-GGA, relaxed); values from VASP
! energy: -5.1530 eV per atom
&SYSTEM
  ibrav = 0, nat = 14, ntyp = 3
/
ATOMIC_SPECIES
Se 78.96 Se.upf
Cs 132.91 Cs.upf
Tc 98.00 Tc.upf
CELL_PARAMETERS angstrom
-1.346 8.170 0.348
2.648 4.362 6.530
6.331 5.282 -0.837
ATOMIC_POSITIONS crystal
Se 0.154 0.154 0.154
Se 0.211 0.596 0.596
Se 0.154 0.154 0.539
Se 0.596 0.596 0.596
Se 0.596 0.596 0.211
Se 0.154 0.539 0.154
Se 0.539 0.154 0.154
Se 0.596 0.211 0.596
Cs 0.000 0.000 0.000
Cs 0.750 0.750 0.750
Tc 0.375 0.375 0.375
Tc 0.375 0.375 0.875
Tc 0.875 0.375 0.375
Tc 0.375 0.875 0.375

=====

2.
! U2InPt2 (PBE-GGA, relaxed); values from VASP
! energy: -8.0315 eV per atom
&SYSTEM
  ibrav = 0, nat = 20, ntyp = 3
/
ATOMIC_SPECIES
Pt 195.08 Pt.upf
In 114.82 In.upf
U 238.03 U.upf
CELL_PARAMETERS angstrom
-3.810 6.702 1.079
-6.357 -3.088 -3.265
-2.220 -2.309 6.505
ATOMIC_POSITIONS crystal
Pt 0.136 0.136 0.282
Pt 0.636 0.364 0.782
Pt 0.636 0.364 0.218
Pt 0.364 0.636 0.782
Pt 0.864 0.864 0.718
Pt 0.136 0.136 0.718
Pt 0.864 0.864 0.282
Pt 0.364 0.636 0.218
In 0.500 0.000 0.250
In 0.500 0.000 0.750
In 0.000 0.500 0.750
In 0.000 0.500 0.250
U 0.318 0.318 0.000
U 0.149 0.851 0.000
U 0.351 0.351 0.500
U 0.682 0.682 0.000
U 0.851 0.149 0.000
U 0.649 0.649 0.500
U 0.182 0.818 0.500
U 0.818 0.182 0.500